Record 1
DFT (PBE) results for a geometry-optimized Ca2ZnAu structure.

Cell lengths 5.936, 4.534, 8.297 Å; angles 90.00, 110.51, 90.00 degrees
Sites, in units of the cell vectors:
Ca 0.208 0.250 0.431
Ca 0.218 0.250 0.925
Ca 0.782 0.750 0.075
Ca 0.792 0.750 0.569
Zn 0.357 0.750 0.216
Zn 0.643 0.250 0.784
Au 0.367 0.750 0.715
Au 0.633 0.250 0.285

Computed properties:
ΔE_f (eV per atom): -0.545
Magnetization (μB per formula unit): 0.0

Record 2
DFT (PBE) results for a geometry-optimized MgFeSb2I structure.

Cell lengths 4.864, 4.864, 5.886 Å; angles 90.00, 90.00, 90.00 degrees
Sites, in units of the cell vectors:
Mg 0.000 0.000 0.000
Fe 0.500 0.500 0.500
Sb 0.000 0.500 0.500
Sb 0.500 0.000 0.500
I 0.500 0.500 0.000

Computed properties:
Formation energy (no corrections) (eV per formula unit): 1.68
ΔE to the lowest computed polymorph (eV/atom): 0.000
Magnetization (μB per formula unit): 1.0

Record 3
DFT (PBE) results for a geometry-optimized BeAs2Ir structure.

Cell lengths 3.224, 3.385, 5.533 Å; angles 90.00, 90.00, 90.00 degrees
Sites, in units of the cell vectors:
Be 0.000 0.000 0.000
As 0.500 0.500 0.248
As 0.500 0.500 0.752
Ir 0.000 0.000 0.500

Computed properties:
ΔE_f (eV per atom): 0.341
Magnetization (μB per formula unit): 0.0

Record 4
DFT (PBE) results for a geometry-optimized Mg2BRh6 structure.

Cell lengths 7.587, 7.587, 2.807 Å; angles 90.00, 90.00, 122.69 degrees
Sites, in units of the cell vectors:
Mg 0.155 0.845 0.000
Mg 0.845 0.155 0.000
B 0.500 0.500 0.500
Rh 0.161 0.494 0.500
Rh 0.278 0.278 0.000
Rh 0.494 0.161 0.500
Rh 0.506 0.839 0.500
Rh 0.722 0.722 0.000
Rh 0.839 0.506 0.500

Computed properties:
ΔE_f (eV per atom): -0.065
Magnetization (μB per formula unit): 0.0